Density functional theory data (PBE-GGA) for a relaxed NaCa crystal.

Summary:
- Spin magnetization: 0.0 μB per formula unit
- DOS at the Fermi energy: 1.5 states/eV/f.u.
- Raw total energy: -1.41 eV/atom
- Energy relative to the lowest polymorph listed for this composition: 0.215 eV/atom
- E_form: 250 meV/atom

a b c (Å): 6.906 6.906 6.892
angles (deg): 90.00 90.00 90.00
Sites, in units of the cell vectors:
Na1 0.184 0.184 0.000
Na2 0.316 0.684 0.500
Na3 0.684 0.316 0.500
Na4 0.816 0.816 0.000
Ca1 0.194 0.194 0.500
Ca2 0.306 0.694 0.000
Ca3 0.694 0.306 0.000
Ca4 0.806 0.806 0.500